Crystalline Li2PmCd3 at its relaxed geometry. Source: Alexandria via LeMat-Bulk, functional PBE.

Calculated values
Energy above the most stable polymorph in this dataset in eV/atom: 0.012
Final energy in eV per cell: -25.6
Total magnetization in μB/f.u.: 0.00
Energy relative to the elements in meV/atom: -248

Lattice parameters (Å, degrees): 4.7621 4.7621 13.6628 90.00 90.00 120.00
Space group P6_3/mmc (No. 194)
Symmetry-distinct sites (fractional):
Li 0.3333 0.6667 0.0742 [4 per cell]
Pm 0.0000 0.0000 0.2500 [2 per cell]
Cd 0.0000 0.0000 0.0000 [2 per cell]
Cd 0.3333 0.6667 0.6286 [4 per cell]